A) DFT (PBE-GGA) results for SrP2AuS after structural relaxation.

extended XYZ file:
```
5
Lattice="4.817 0.000 0.000 0.000 4.817 0.000 0.000 0.000 5.211" Properties=species:S:1:pos:R:3 pbc="T T T"
P 2.408 0.000 0.000
P 0.000 2.408 0.000
Sr 2.408 2.408 2.606
Au 0.000 0.000 0.000
S 0.000 0.000 2.606
```

## Properties
Fermi-level density of states ... 1.063 states/eV per atom

---

B) DFT (PBE-GGA) results for SrP2AuS after structural relaxation.

extended XYZ file:
```
5
Lattice="5.590 0.000 0.000 0.000 5.590 0.000 0.000 0.000 5.389" Properties=species:S:1:pos:R:3 pbc="T T T"
Sr 0.000 0.000 0.000
P 2.795 0.000 0.000
P 0.000 2.795 0.000
S 0.000 0.000 2.695
Au 2.795 2.795 2.695
```

## Properties
Fermi-level density of states ... 1.218 states/eV per atom

---

A) comes first in stability; the runner-up is 1.238 eV/atom higher.

---

A) DFT (PBE-GGA) results for TcPAuS2 after structural relaxation.

extended XYZ file:
```
5
Lattice="4.477 0.000 0.000 0.000 4.477 0.000 0.000 0.000 5.007" Properties=species:S:1:pos:R:3 pbc="T T T"
S 2.239 0.000 0.000
S 0.000 2.239 0.000
P 0.000 0.000 2.503
Tc 0.000 0.000 0.000
Au 2.239 2.239 2.503
```

## Properties
Fermi-level density of states ... 0.920 states/eV per atom

---

B) DFT (PBE-GGA) results for TcPAuS2 after structural relaxation.

extended XYZ file:
```
5
Lattice="-0.147 -0.656 4.853 -0.689 -4.804 -0.670 4.638 -0.672 0.049" Properties=species:S:1:pos:R:3 pbc="T T T"
S -0.344 -2.402 -0.335
S -0.073 -0.328 2.427
P 2.319 -0.336 0.025
Tc 1.901 -3.066 2.116
Au 0.000 0.000 0.000
```

## Properties
Fermi-level density of states ... 0.925 states/eV per atom

---

A) comes first in stability; the runner-up is 0.778 eV/atom higher.

---

A) DFT (PBE-GGA) results for TlP2AuS after structural relaxation.

extended XYZ file:
```
5
Lattice="4.876 0.000 0.000 0.000 4.876 0.000 0.000 0.000 5.186" Properties=species:S:1:pos:R:3 pbc="T T T"
Au 0.000 0.000 0.000
P 0.000 2.438 0.000
P 2.438 0.000 0.000
S 0.000 0.000 2.593
Tl 2.438 2.438 2.593
```

## Properties
Fermi-level density of states ... 0.961 states/eV per atom

---

B) DFT (PBE-GGA) results for TlP2AuS after structural relaxation.

extended XYZ file:
```
5
Lattice="5.166 0.000 0.000 0.000 5.166 0.000 0.000 0.000 5.076" Properties=species:S:1:pos:R:3 pbc="T T T"
P 2.583 0.000 0.000
P 0.000 2.583 0.000
S 0.000 0.000 2.538
Tl 0.000 0.000 0.000
Au 2.583 2.583 2.538
```

## Properties
Fermi-level density of states ... 0.867 states/eV per atom

---

A) comes first in stability; the runner-up is 0.721 eV/atom higher.

---

A) DFT (PBE-GGA) results for TlPAuS2 after structural relaxation.

extended XYZ file:
```
5
Lattice="-1.659 4.106 -2.590 2.263 -1.767 -4.252 -4.323 -2.534 -1.248" Properties=species:S:1:pos:R:3 pbc="T T T"
P -2.162 -1.267 -0.624
S 1.132 -0.884 -2.126
S -0.830 2.053 -1.295
Au -1.859 -0.098 -4.045
Tl 0.000 0.000 0.000
```

## Properties
Fermi-level density of states ... 0.878 states/eV per atom

---

B) DFT (PBE-GGA) results for TlPAuS2 after structural relaxation.

extended XYZ file:
```
5
Lattice="-3.252 -0.435 -3.999 -1.604 -4.576 1.802 -3.297 2.120 2.451" Properties=species:S:1:pos:R:3 pbc="T T T"
S -1.626 -0.217 -2.000
S -0.802 -2.288 0.901
Au 0.000 0.000 0.000
P -1.648 1.060 1.225
Tl -4.076 -1.445 0.127
```

## Properties
Fermi-level density of states ... 1.003 states/eV per atom

---

B) comes first in stability; the runner-up is 0.709 eV/atom higher.

---

A) DFT (PBE-GGA) results for P2WAuS after structural relaxation.

extended XYZ file:
```
5
Lattice="4.650 0.000 0.000 0.000 4.650 0.000 0.000 0.000 4.695" Properties=species:S:1:pos:R:3 pbc="T T T"
Au 0.000 0.000 0.000
S 0.000 0.000 2.348
P 2.325 0.000 0.000
P 0.000 2.325 0.000
W 2.325 2.325 2.348
```

## Properties
Fermi-level density of states ... 1.360 states/eV per atom

---

B) DFT (PBE-GGA) results for P2WAuS after structural relaxation.

extended XYZ file:
```
5
Lattice="-3.135 -3.602 -0.311 2.463 -2.430 3.306 -2.503 1.898 3.260" Properties=species:S:1:pos:R:3 pbc="T T T"
W 0.000 0.000 0.000
S -1.252 0.949 1.630
Au -1.588 -2.067 3.127
P 1.231 -1.215 1.653
P -1.568 -1.801 -0.155
```

## Properties
Fermi-level density of states ... 0.698 states/eV per atom

---

B) comes first in stability; the runner-up is 1.205 eV/atom higher.

---

A) DFT (PBE-GGA) results for ZrPAuS2 after structural relaxation.

extended XYZ file:
```
5
Lattice="4.747 0.000 0.000 0.000 4.747 0.000 0.000 0.000 4.746" Properties=species:S:1:pos:R:3 pbc="T T T"
S 0.000 2.374 0.000
S 2.374 0.000 0.000
Au 0.000 0.000 0.000
Zr 2.374 2.374 2.373
P 0.000 0.000 2.373
```

## Properties
Fermi-level density of states ... 0.552 states/eV per atom

---

B) DFT (PBE-GGA) results for ZrPAuS2 after structural relaxation.

extended XYZ file:
```
5
Lattice="-3.258 -3.240 1.738 1.586 -3.334 -3.241 3.501 -1.677 3.437" Properties=species:S:1:pos:R:3 pbc="T T T"
Au 0.914 -4.125 0.967
Zr 0.000 0.000 0.000
S -1.629 -1.620 0.869
S 0.793 -1.667 -1.620
P 1.750 -0.838 1.719
```

## Properties
Fermi-level density of states ... 1.188 states/eV per atom

---

B) comes first in stability; the runner-up is 0.317 eV/atom higher.